An optimized crystal structure of CsNbRu2C, computed with PBE-GGA.

Values from the calculation:
energy relative to the elements	4.0574	eV per atom
DOS at the Fermi energy	6.8	states/eV/f.u.
calculated total energy	-3.682	eV per atom

```
5
Lattice="4.8263 0.0000 0.0000 0.0000 5.1021 0.0000 0.0000 0.0000 4.8263" Properties=species:S:1:pos:R:3 pbc="T T T"
Cs 0.0000 0.0000 0.0000
Ru 2.4131 0.0000 0.0000
Ru 0.0000 0.0000 2.4131
C 2.4131 2.5511 2.4131
Nb 0.0000 2.5511 0.0000
```